i | 8
Lattice="-3.669 3.669 2.708 3.669 -3.669 2.708 3.669 3.669 -2.708" Properties=species:S:1:pos:R:3 comment="NaHfTc2 PBE relaxed" space_group="No. 122" pbc="T T T"
Na 0.000 0.000 0.000
Na 0.000 3.669 1.354
Hf 3.669 0.000 1.354
Hf 0.000 0.000 2.708
Tc 1.835 -1.821 2.031
Tc 1.849 1.835 0.677
Tc 1.835 5.490 -0.677
Tc 1.821 1.835 3.385



ii | 4
Lattice="0.000 3.252 3.252 3.252 0.000 3.252 3.252 3.252 0.000" Properties=species:S:1:pos:R:3 comment="NaHfTc2 PBE relaxed" space_group="No. 225" pbc="T T T"
Na 0.000 0.000 0.000
Hf 3.252 3.252 3.252
Tc 1.626 1.626 1.626
Tc 4.878 4.878 4.878



ii has the most favorable energy; the next structure is 0.356 eV/atom above.



i | 5
Lattice="6.001 0.000 0.000 0.000 6.001 0.000 0.000 0.000 6.001" Properties=species:S:1:pos:R:3 comment="Na3HfTe PBE relaxed" space_group="No. 221" pbc="T T T"
Na 0.000 0.000 3.000
Na 0.000 3.000 0.000
Na 3.000 0.000 0.000
Hf 0.000 0.000 0.000
Te 3.000 3.000 3.000



ii | 5
Lattice="5.808 0.000 0.000 0.000 5.808 0.000 0.000 0.000 5.808" Properties=species:S:1:pos:R:3 comment="Na3HfTe PBE relaxed" space_group="No. 221" pbc="T T T"
Na 0.000 0.000 2.904
Na 0.000 2.904 0.000
Na 2.904 0.000 0.000
Hf 2.904 2.904 2.904
Te 0.000 0.000 0.000



ii has the most favorable energy; the next structure is 0.506 eV/atom above.



i | 5
Lattice="4.976 0.000 0.000 0.000 4.976 0.000 0.000 0.000 4.976" Properties=species:S:1:pos:R:3 comment="NaHf3Te PBE relaxed" space_group="No. 221" pbc="T T T"
Na 0.000 0.000 0.000
Hf 0.000 0.000 2.488
Hf 0.000 2.488 0.000
Hf 2.488 0.000 0.000
Te 2.488 2.488 2.488



ii | 5
Lattice="5.309 0.000 0.000 0.000 5.309 0.000 0.000 0.000 5.309" Properties=species:S:1:pos:R:3 comment="NaHf3Te PBE relaxed" space_group="No. 221" pbc="T T T"
Na 0.000 0.000 0.000
Hf 0.000 2.654 2.654
Hf 2.654 0.000 2.654
Hf 2.654 2.654 0.000
Te 2.654 2.654 2.654



ii has the most favorable energy; the next structure is 0.477 eV/atom above.